Below is an optimized crystal structure of ThPa2TcN5, with properties calculated at the PBE level.

a = 6.520 Å, b = 6.520 Å, c = 7.455 Å
α = 115.93°, β = 115.93°, γ = 90.00°
Positions (direct):
Tc 0.250 0.750 0.500
N 0.212 0.022 0.734
Pa 0.174 0.326 0.000
N 0.288 0.788 0.266
N 0.788 0.978 0.266
Th 0.250 0.250 0.500
Pa 0.326 0.826 0.000
N 0.522 0.712 0.734
Tc 0.750 0.250 0.500
N 0.022 0.522 0.734
N 0.000 0.000 0.000
N 0.712 0.212 0.734
N 0.500 0.500 0.000
Th 0.750 0.750 0.500
Pa 0.674 0.174 0.000
N 0.978 0.478 0.266
N 0.478 0.288 0.266
Pa 0.826 0.674 0.000

Results
electronic total energy: -9.918 eV per atom
raw formation energy: -1.2068 eV per atom

***

Below is an optimized crystal structure of Pa2TiTcN6, with properties calculated at the PBE level.

a = 4.780 Å, b = 5.352 Å, c = 5.352 Å
α = 90.00°, β = 90.00°, γ = 90.00°
Positions (direct):
Ti 0.579 0.500 0.500
N 0.735 0.751 0.249
N 0.735 0.751 0.751
N 0.735 0.249 0.751
Tc 0.569 0.000 0.000
N 0.192 0.500 0.500
N 0.199 0.000 0.000
Pa 0.983 0.500 0.000
N 0.735 0.249 0.249
Pa 0.983 0.000 0.500

Results
electronic total energy: -9.700 eV per atom
raw formation energy: -0.9794 eV per atom

***

Below is an optimized crystal structure of PaTlTcN3, with properties calculated at the PBE level.

a = 3.481 Å, b = 7.997 Å, c = 7.967 Å
α = 100.90°, β = 90.00°, γ = 90.00°
Positions (direct):
N 0.250 0.534 0.869
N 0.250 0.840 0.424
N 0.750 0.160 0.576
Pa 0.750 0.350 0.840
N 0.750 0.825 0.129
Tc 0.250 0.032 0.627
Tl 0.750 0.811 0.813
N 0.250 0.175 0.871
Tc 0.750 0.968 0.373
Tl 0.250 0.189 0.187
N 0.750 0.466 0.131
Pa 0.250 0.650 0.160

Results
electronic total energy: -8.385 eV per atom
raw formation energy: -0.5173 eV per atom

***

Below is an optimized crystal structure of Pa2VTcN6, with properties calculated at the PBE level.

a = 4.033 Å, b = 5.586 Å, c = 5.586 Å
α = 90.00°, β = 90.00°, γ = 90.00°
Positions (direct):
N 0.172 0.500 0.500
N 0.714 0.760 0.760
Tc 0.667 0.500 0.500
Pa 0.990 0.000 0.500
Pa 0.990 0.500 0.000
N 0.714 0.240 0.240
N 0.714 0.240 0.760
V 0.595 0.000 0.000
N 0.714 0.760 0.240
N 0.176 0.000 0.000

Results
electronic total energy: -9.711 eV per atom
raw formation energy: -0.8677 eV per atom

***

Below is an optimized crystal structure of PaTc2WN6, with properties calculated at the PBE level.

a = 5.321 Å, b = 5.491 Å, c = 5.627 Å
α = 65.87°, β = 62.21°, γ = 58.47°
Positions (direct):
N 0.342 0.769 0.713
N 0.594 0.237 0.240
N 0.137 0.388 0.760
N 0.933 0.581 0.252
Pa 0.807 0.828 0.562
W 0.301 0.266 0.079
Tc 0.517 0.511 0.476
N 0.265 0.902 0.232
N 0.719 0.151 0.765
Tc 0.047 0.029 0.936

Results
electronic total energy: -9.724 eV per atom
raw formation energy: -0.4107 eV per atom

***

Below is an optimized crystal structure of Pa2ZnTcN5, with properties calculated at the PBE level.

a = 3.392 Å, b = 7.329 Å, c = 9.265 Å
α = 90.00°, β = 90.00°, γ = 103.38°
Positions (direct):
N 0.719 0.439 0.877
Zn 0.512 0.023 0.020
N 0.625 0.251 0.456
Pa 0.127 0.254 0.764
N 0.089 0.177 0.020
Pa 0.131 0.263 0.270
N 0.375 0.749 0.956
Tc 0.760 0.520 0.511
Tc 0.240 0.480 0.011
N 0.911 0.823 0.520
N 0.723 0.446 0.155
Zn 0.488 0.977 0.520
N 0.281 0.561 0.377
N 0.520 0.040 0.751
N 0.277 0.554 0.655
Pa 0.873 0.746 0.264
Pa 0.869 0.737 0.770
N 0.480 0.960 0.251

Results
electronic total energy: -8.873 eV per atom
raw formation energy: -0.8443 eV per atom

***

Below is an optimized crystal structure of ZrPa2TcN6, with properties calculated at the PBE level.

a = 5.041 Å, b = 5.374 Å, c = 5.374 Å
α = 90.00°, β = 90.00°, γ = 90.00°
Positions (direct):
Zr 0.566 0.500 0.500
Tc 0.568 0.000 0.000
N 0.162 0.500 0.500
N 0.744 0.757 0.243
N 0.744 0.243 0.243
N 0.744 0.757 0.757
Pa 0.980 0.000 0.500
Pa 0.980 0.500 0.000
N 0.744 0.243 0.757
N 0.215 0.000 0.000

Results
electronic total energy: -9.744 eV per atom
raw formation energy: -0.9580 eV per atom

***

Below is an optimized crystal structure of Pa3Te3N, with properties calculated at the PBE level.

a = 7.403 Å, b = 7.403 Å, c = 7.347 Å
α = 96.22°, β = 96.22°, γ = 108.74°
Positions (direct):
N 0.807 0.807 0.869
Te 0.248 0.752 0.000
Te 0.164 0.836 0.500
N 0.193 0.193 0.131
Te 0.394 0.394 0.664
Te 0.836 0.164 0.500
Pa 0.440 0.145 0.289
Te 0.606 0.606 0.336
Pa 0.855 0.560 0.711
Pa 0.145 0.440 0.289
Pa 0.560 0.855 0.711
Pa 0.088 0.088 0.828
Te 0.752 0.248 0.000
Pa 0.912 0.912 0.172

Results
electronic total energy: -7.523 eV per atom
raw formation energy: -0.9180 eV per atom

***

Below is an optimized crystal structure of Pa4Te5N, with properties calculated at the PBE level.

a = 3.952 Å, b = 8.252 Å, c = 9.214 Å
α = 102.71°, β = 102.38°, γ = 90.00°
Positions (direct):
Te 0.834 0.648 0.667
Pa 0.995 0.203 0.991
Pa 0.005 0.797 0.009
Te 0.178 0.811 0.356
Pa 0.361 0.933 0.722
Te 0.500 0.500 0.000
N 0.500 0.000 0.000
Te 0.822 0.189 0.644
Te 0.166 0.352 0.333
Pa 0.639 0.067 0.278

Results
electronic total energy: -7.046 eV per atom
raw formation energy: -0.8445 eV per atom

***

Below is an optimized crystal structure of Pa4Te2N, with properties calculated at the PBE level.

a = 4.641 Å, b = 4.641 Å, c = 8.497 Å
α = 74.15°, β = 74.15°, γ = 90.00°
Positions (direct):
Pa 0.500 0.000 0.000
Pa 0.152 0.152 0.696
N 0.000 0.000 0.000
Pa 0.848 0.848 0.304
Pa 0.000 0.500 0.000
Te 0.353 0.353 0.294
Te 0.647 0.647 0.706

Results
electronic total energy: -8.240 eV per atom
raw formation energy: -0.7265 eV per atom

***

Below is an optimized crystal structure of PaTeN, with properties calculated at the PBE level.

a = 3.918 Å, b = 3.918 Å, c = 8.854 Å
α = 90.00°, β = 90.00°, γ = 90.00°
Positions (direct):
N 0.250 0.750 0.000
N 0.750 0.250 0.000
Pa 0.750 0.750 0.865
Pa 0.250 0.250 0.135
Te 0.750 0.750 0.329
Te 0.250 0.250 0.671

Results
electronic total energy: -8.542 eV per atom
raw formation energy: -1.5546 eV per atom
energy above the most stable polymorph in this dataset: 0.000 eV/atom